1.
# Dy4AlTc PBE optimized geometry
data_Dy4AlTc
_cell_length_a 8.528
_cell_length_b 12.776
_cell_length_c 6.176
_cell_angle_alpha 90.00
_cell_angle_beta 107.41
_cell_angle_gamma 90.00
_symmetry_space_group_name_H-M 'C 1 2/c 1'
_symmetry_Int_Tables_number 15
loop_
_symmetry_equiv_pos_as_xyz
'x,y,z'
'-x,-y,-z'
'-x,y,-z+1/2'
'x,-y,z+1/2'
'x+1/2,y+1/2,z'
'-x+1/2,-y+1/2,-z'
'-x+1/2,y+1/2,-z+1/2'
'x+1/2,-y+1/2,z+1/2'
loop_
_atom_site_label
_atom_site_type_symbol
_atom_site_fract_x
_atom_site_fract_y
_atom_site_fract_z
_atom_site_occupancy
Dy1 Dy 0.108 0.171 0.046 1
Dy2 Dy 0.212 0.422 0.395 1
Al1 Al 0.000 0.376 0.750 1
Tc1 Tc 0.000 0.001 0.250 1
# ρ	8.02	g/cm³
# formation enthalpy at 0 K	-0.1825	eV per atom


2.
# RbNaCd2 PBE optimized geometry
data_RbNaCd2
_cell_length_a 4.137
_cell_length_b 4.137
_cell_length_c 8.331
_cell_angle_alpha 90.00
_cell_angle_beta 90.00
_cell_angle_gamma 90.00
_symmetry_space_group_name_H-M 'P 4/m m m'
_symmetry_Int_Tables_number 123
_symmetry_space_group_name_Hall '-P 4 2'
loop_
_atom_site_label
_atom_site_type_symbol
_atom_site_fract_x
_atom_site_fract_y
_atom_site_fract_z
_atom_site_occupancy
Rb1 Rb 0.000 0.000 0.000 1
Na1 Na 0.000 0.000 0.500 1
Cd1 Cd 0.500 0.500 0.318 1
# ρ	3.88	g/cm³
# relative energy among the computed polymorphs	29	meV/atom
# formation enthalpy at 0 K	-0.0338	eV per atom